Entry from Alexandria via LeMat-Bulk: a PBEsol-optimized structure of AlReAg2 (meta-GGA SCAN).

The crystal system is tetragonal.

a = 3.751 Å, b = 3.751 Å, c = 8.822 Å
α = 90.00°, β = 90.00°, γ = 90.00°
Space group I4/mmm (No. 139)
Symmetry-distinct sites (fractional):
Al1 0.000 0.000 0.000 x2
Re1 0.000 0.000 0.500 x2
Ag1 0.000 0.500 0.250 x4



Entry from Alexandria via LeMat-Bulk: a PBEsol-optimized structure of BeRe2P (meta-GGA SCAN).

The crystal system is orthorhombic.

a = 2.912 Å, b = 4.725 Å, c = 7.525 Å
α = 90.00°, β = 90.00°, γ = 90.00°
Space group Cmmm (No. 65)
Symmetry-distinct sites (fractional):
Be1 0.000 0.000 0.000 x2
Re1 0.000 0.500 0.256 x4
P1 0.000 0.000 0.500 x2



no.,DFT formation energy (eV per atom),electronic total energy (eV/atom)
1,0.49,-34.9023
2,0.34,-38.8955